No. 1
# PBE NaHoAgBr5, optimized geometry
data_NaHoAgBr5
_cell_length_a 8.217
_cell_length_b 13.648
_cell_length_c 10.379
_cell_angle_alpha 90.00
_cell_angle_beta 110.33
_cell_angle_gamma 90.00
_space_group_name_H-M_alt 'C 1 2/c 1'
_space_group_IT_number 15
_space_group_name_Hall '-C 2yc'
loop_
_atom_site_label
_atom_site_fract_x
_atom_site_fract_y
_atom_site_fract_z
Na1 0.000 0.066 0.250
Ho1 0.000 0.500 0.000
Ag1 0.000 0.218 0.750
Br1 0.000 0.419 0.250
Br2 0.174 0.086 0.955
Br3 0.174 0.332 0.628
# **DOS(E_F)**: 0.000 states/eV/atom
# **E_tot**: -3.52 eV/atom

***

No. 2
# PBE Rb2HoAgBr6, optimized geometry
data_Rb2HoAgBr6
_cell_length_a 7.860
_cell_length_b 8.075
_cell_length_c 13.522
_cell_angle_alpha 90.00
_cell_angle_beta 125.35
_cell_angle_gamma 90.00
_space_group_name_H-M_alt 'P 1 21/c 1'
_space_group_IT_number 14
_space_group_name_Hall '-P 2ybc'
loop_
_atom_site_label
_atom_site_fract_x
_atom_site_fract_y
_atom_site_fract_z
Rb1 0.233 0.060 0.249
Ho1 0.500 0.000 0.000
Ag1 0.000 0.000 0.500
Br1 0.176 0.200 0.962
Br2 0.265 0.716 0.963
Br3 0.327 0.011 0.752
# **DOS(E_F)**: 0.000 states/eV/atom
# **E_tot**: -3.48 eV/atom

***

No. 3
# PBE RbHoAgBr5, optimized geometry
data_RbHoAgBr5
_cell_length_a 9.337
_cell_length_b 13.051
_cell_length_c 10.708
_cell_angle_alpha 90.00
_cell_angle_beta 111.45
_cell_angle_gamma 90.00
_space_group_name_H-M_alt 'C 1 2/c 1'
_space_group_IT_number 15
_space_group_name_Hall '-C 2yc'
loop_
_atom_site_label
_atom_site_fract_x
_atom_site_fract_y
_atom_site_fract_z
Rb1 0.000 0.156 0.250
Ho1 0.000 0.500 0.000
Ag1 0.000 0.189 0.750
Br1 0.000 0.431 0.250
Br2 0.104 0.303 0.590
Br3 0.195 0.059 0.938
# **DOS(E_F)**: 0.000 states/eV/atom
# **E_tot**: -3.56 eV/atom

***

No. 4
# PBE SrHoAgBr6, optimized geometry
data_SrHoAgBr6
_cell_length_a 6.945
_cell_length_b 6.945
_cell_length_c 13.041
_cell_angle_alpha 90.00
_cell_angle_beta 90.00
_cell_angle_gamma 90.00
_space_group_name_H-M_alt 'P 42 n m'
_space_group_IT_number 102
_space_group_name_Hall 'P 4n -2n'
loop_
_atom_site_label
_atom_site_fract_x
_atom_site_fract_y
_atom_site_fract_z
Sr1 0.000 0.000 0.000
Ho1 0.000 0.000 0.665
Ag1 0.000 0.000 0.328
Br1 0.187 0.187 0.502
Br2 0.198 0.198 0.818
Br3 0.212 0.212 0.172
# **DOS(E_F)**: 0.000 states/eV/atom
# **E_tot**: -3.71 eV/atom